Record 1
# RbAl2HgPd (GGA-PBE, optimized geometry)
# Total energy = -11.91 eV per cell
# Spin magnetization = 0.0 μB per formula unit
# E_form = 0.41 eV per atom
# Calculated volume = 142.96 Å³/cell
data_RbAl2HgPd
_cell_length_a 5.1046
_cell_length_b 5.1046
_cell_length_c 5.4864
_cell_angle_alpha 90.00
_cell_angle_beta 90.00
_cell_angle_gamma 90.00
_space_group_name_H-M_alt 'P 4/m m m'
_space_group_IT_number 123
_space_group_name_Hall '-P 4 2'
loop_
_atom_site_label
_atom_site_type_symbol
_atom_site_fract_x
_atom_site_fract_y
_atom_site_fract_z
_atom_site_occupancy
Rb1 Rb 0.0000 0.0000 0.0000 1
Al1 Al 0.0000 0.5000 0.5000 1
Hg1 Hg 0.5000 0.5000 0.5000 1
Pd1 Pd 0.5000 0.5000 0.0000 1

=====

Record 2
# Pr2Ho6Th (GGA-PBE, optimized geometry)
# Total energy = -43.85 eV per cell
# Spin magnetization = 0.0 μB per formula unit
# E_form = 0.07 eV per atom
# Calculated volume = 290.26 Å³/cell
data_Pr2Ho6Th
_cell_length_a 9.7934
_cell_length_b 9.7934
_cell_length_c 3.4946
_cell_angle_alpha 90.00
_cell_angle_beta 90.00
_cell_angle_gamma 120.00
_space_group_name_H-M_alt 'P 6/m m m'
_space_group_IT_number 191
_space_group_name_Hall '-P 6 2'
loop_
_atom_site_label
_atom_site_type_symbol
_atom_site_fract_x
_atom_site_fract_y
_atom_site_fract_z
_atom_site_occupancy
Pr1 Pr 0.3333 0.6667 0.0000 1
Ho1 Ho 0.0000 0.3302 0.5000 1
Th1 Th 0.0000 0.0000 0.0000 1

=====

Record 3
# Pm2TmC2I2 (GGA-PBE, optimized geometry)
# Total energy = -78.40 eV per cell
# E_form (uncorrected) = -0.526 eV/atom
# Spin magnetization = 0.0 μB per formula unit
# Calculated volume = 399.32 Å³/cell
data_Pm2TmC2I2
_cell_length_a 4.4569
_cell_length_b 4.4569
_cell_length_c 20.1025
_cell_angle_alpha 90.00
_cell_angle_beta 90.00
_cell_angle_gamma 90.00
_space_group_name_H-M_alt 'I 4/m m m'
_space_group_IT_number 139
_space_group_name_Hall '-I 4 2'
loop_
_atom_site_label
_atom_site_type_symbol
_atom_site_fract_x
_atom_site_fract_y
_atom_site_fract_z
_atom_site_occupancy
Pm1 Pm 0.0000 0.0000 0.0774 1
Tm1 Tm 0.0000 0.0000 0.5000 1
C1 C 0.0000 0.5000 0.0000 1
I1 I 0.0000 0.0000 0.3395 1

=====

Record 4
# Cs2LaZrF6 (GGA-PBE, optimized geometry)
# Total energy = -219.40 eV per cell
# E_form (uncorrected) = -2.844 eV/atom
# Spin magnetization = 2.9 μB per formula unit
# Calculated volume = 857.60 Å³/cell
data_Cs2LaZrF6
_cell_length_a 9.5008
_cell_length_b 9.5008
_cell_length_c 9.5008
_cell_angle_alpha 90.00
_cell_angle_beta 90.00
_cell_angle_gamma 90.00
_space_group_name_H-M_alt 'F m -3 m'
_space_group_IT_number 225
_space_group_name_Hall '-F 4 2 3'
loop_
_atom_site_label
_atom_site_type_symbol
_atom_site_fract_x
_atom_site_fract_y
_atom_site_fract_z
_atom_site_occupancy
Cs1 Cs 0.2500 0.2500 0.2500 1
La1 La 0.0000 0.0000 0.0000 1
Zr1 Zr 0.0000 0.0000 0.5000 1
F1 F 0.0000 0.0000 0.2493 1

=====

Record 5
# Np2CoOs (GGA-PBE, optimized geometry)
# Total energy = -43.44 eV per cell
# Spin magnetization = 6.0 μB per formula unit
# E_form = 0.20 eV per atom
# Calculated volume = 74.56 Å³/cell
data_Np2CoOs
_cell_length_a 4.7047
_cell_length_b 4.7047
_cell_length_c 3.3684
_cell_angle_alpha 90.00
_cell_angle_beta 90.00
_cell_angle_gamma 90.00
_space_group_name_H-M_alt 'P 4/m m m'
_space_group_IT_number 123
_space_group_name_Hall '-P 4 2'
loop_
_atom_site_label
_atom_site_type_symbol
_atom_site_fract_x
_atom_site_fract_y
_atom_site_fract_z
_atom_site_occupancy
Np1 Np 0.0000 0.5000 0.0000 1
Co1 Co 0.0000 0.0000 0.5000 1
Os1 Os 0.5000 0.5000 0.5000 1

=====

Record 6
# Mg14ZnNi (GGA-PBE, optimized geometry)
# Total energy = -58.85 eV per cell
# Spin magnetization = 0.0 μB per formula unit
# E_form = 0.00 eV per atom
# Calculated volume = 671.93 Å³/cell
data_Mg14ZnNi
_cell_length_a 10.0969
_cell_length_b 6.2422
_cell_length_c 10.6611
_cell_angle_alpha 90.00
_cell_angle_beta 90.00
_cell_angle_gamma 90.00
_space_group_name_H-M_alt 'A m m 2'
_space_group_IT_number 38
loop_
_space_group_symop_operation_xyz
'x,y,z'
'-x,-y,z'
'-x,y,z'
'x,-y,z'
'x,y+1/2,z+1/2'
'-x,-y+1/2,z+1/2'
'-x,y+1/2,z+1/2'
'x,-y+1/2,z+1/2'
loop_
_atom_site_label
_atom_site_type_symbol
_atom_site_fract_x
_atom_site_fract_y
_atom_site_fract_z
_atom_site_occupancy
Mg1 Mg 0.0000 0.0000 0.0000 1
Mg2 Mg 0.0000 0.0000 0.4993 1
Mg3 Mg 0.0000 0.2487 0.2453 1
Mg4 Mg 0.2479 0.0000 0.8307 1
Mg5 Mg 0.2553 0.0000 0.3318 1
Mg6 Mg 0.2798 0.2436 0.5749 1
Mg7 Mg 0.5000 0.2489 0.2694 1
Zn1 Zn 0.5000 0.0000 0.0005 1
Ni1 Ni 0.5000 0.0000 0.4887 1